1.
La2Nd5Sc2 | GGA-PBE | relaxed

The structure in POSCAR format:
```
La2Nd5Sc2
1.0
-4.254 2.801 0.065
-4.057 -6.084 -3.372
1.755 -2.142 7.556
La Nd Sc
2 5 2
direct
0.893 0.338 0.787
0.107 0.662 0.213
0.665 0.003 0.329
0.335 0.997 0.671
0.780 0.664 0.559
0.220 0.336 0.441
0.000 0.000 0.000
0.556 0.338 0.111
0.444 0.662 0.889
```

As for the space group: No. 12. As for the formation energy: 5 kJ per mole of atoms. The value obtained for the volume is 32.98 A^3/atom.

=====

2.
La2Nd4Sc | GGA-PBE | relaxed

The structure in POSCAR format:
```
La2Nd4Sc
1.0
-3.164 -5.710 4.874
7.310 -2.948 -4.182
-0.320 9.455 5.424
La Nd Sc
4 8 2
direct
0.528 0.938 0.917
0.376 0.359 0.625
0.799 0.065 0.477
0.305 0.566 0.987
0.734 0.285 0.847
0.949 0.648 0.770
0.589 0.712 0.548
0.015 0.428 0.403
0.444 0.149 0.264
0.877 0.857 0.124
0.160 0.002 0.702
0.222 0.777 0.336
0.653 0.495 0.195
0.099 0.219 0.055
```

For the energy above the lowest structure with this stoichiometry, the calculation gives 0.0000 eV/atom. As for the space group: No. 1. As for the formation energy: 4 kJ per mole of atoms. The value obtained for the volume is 34.04 A^3/atom.

=====

3.
La3Nd8Sc2 | GGA-PBE | relaxed

The structure in POSCAR format:
```
La3Nd8Sc2
1.0
-7.368 2.405 5.676
2.953 -3.982 5.522
7.864 4.966 -5.612
La Nd Sc
3 8 2
direct
0.500 0.000 0.000
0.000 0.269 0.000
0.000 0.731 0.000
0.927 0.643 0.286
0.073 0.357 0.714
0.007 0.148 0.297
0.993 0.852 0.703
0.447 0.591 0.740
0.447 0.149 0.740
0.553 0.851 0.260
0.553 0.409 0.260
0.518 0.251 0.503
0.482 0.749 0.497
```

As for the space group: No. 12. As for the formation energy: 16 kJ per mole of atoms. The value obtained for the volume is 34.05 A^3/atom.

=====

4.
La2Nd7Sc2 | GGA-PBE | relaxed

The structure in POSCAR format:
```
La2Nd7Sc2
1.0
8.259 0.818 1.180
0.308 6.842 0.409
0.308 -2.020 6.550
La Nd Sc
2 7 2
direct
0.816 0.428 0.428
0.184 0.572 0.572
0.179 0.085 0.507
0.821 0.493 0.915
0.821 0.915 0.493
0.179 0.507 0.085
0.000 0.000 0.000
0.471 0.807 0.807
0.529 0.193 0.193
0.500 0.289 0.711
0.500 0.711 0.289
```

For the energy above the lowest structure with this stoichiometry, the calculation gives 0.0282 eV/atom. As for the space group: No. 12. As for the formation energy: 14 kJ per mole of atoms. The value obtained for the volume is 33.84 A^3/atom.

=====

5.
La2Nd4Sc3 | GGA-PBE | relaxed

The structure in POSCAR format:
```
La2Nd4Sc3
1.0
-3.932 -1.886 2.507
-1.822 -5.577 -2.005
6.324 -7.268 4.454
La Nd Sc
2 4 3
direct
0.332 0.336 0.770
0.668 0.664 0.230
0.666 0.669 0.887
0.006 0.988 0.338
0.994 0.012 0.662
0.334 0.331 0.113
0.337 0.325 0.448
0.000 0.000 0.000
0.663 0.675 0.552
```

As for the space group: No. 12. As for the formation energy: 6 kJ per mole of atoms. The value obtained for the volume is 31.69 A^3/atom.

=====

6.
La2Nd3Sc2 | GGA-PBE | relaxed

The structure in POSCAR format:
```
La2Nd3Sc2
1.0
-1.159 1.845 -2.811
-5.699 -6.416 0.397
-1.287 7.022 5.134
La Nd Sc
2 3 2
direct
0.367 0.734 0.181
0.633 0.266 0.819
0.000 0.000 0.000
0.296 0.592 0.702
0.704 0.408 0.298
0.071 0.140 0.430
0.929 0.860 0.570
```

As for the space group: No. 12. As for the formation energy: 4 kJ per mole of atoms. The value obtained for the volume is 32.88 A^3/atom.

=====

7.
La5NdSc2 | GGA-PBE | relaxed

The structure in POSCAR format:
```
La5NdSc2
1.0
-1.994 -1.102 -4.976
4.537 -4.213 2.125
-11.932 -9.390 6.861
La Nd Sc
10 2 4
direct
0.954 0.908 0.899
0.954 0.908 0.601
0.353 0.707 0.464
0.353 0.707 0.036
0.517 0.034 0.250
0.483 0.966 0.750
0.647 0.293 0.536
0.647 0.293 0.964
0.046 0.092 0.101
0.046 0.092 0.399
0.757 0.513 0.750
0.243 0.487 0.250
0.769 0.537 0.350
0.769 0.537 0.150
0.231 0.463 0.650
0.231 0.463 0.850
```

As for the space group: No. 63. As for the formation energy: 11 kJ per mole of atoms. The value obtained for the volume is 33.89 A^3/atom.

=====

8.
La3Nd2Sc | GGA-PBE | relaxed

The structure in POSCAR format:
```
La3Nd2Sc
1.0
-1.011 2.367 2.282
-3.028 -4.795 3.632
15.247 -2.526 9.378
La Nd Sc
6 4 2
direct
0.000 0.000 0.000
0.500 0.500 0.500
0.500 0.752 0.816
0.500 0.248 0.184
0.000 0.252 0.684
0.000 0.748 0.316
0.500 0.750 0.144
0.000 0.250 0.356
0.000 0.750 0.644
0.500 0.250 0.856
0.000 0.000 0.500
0.500 0.500 0.000
```

For the energy above the lowest structure with this stoichiometry, the calculation gives 0.2050 eV/atom. As for the space group: No. 58. As for the formation energy: 23 kJ per mole of atoms. The value obtained for the volume is 34.90 A^3/atom.

=====

9.
La3Nd2Sc | GGA-PBE | relaxed

The structure in POSCAR format:
```
La3Nd2Sc
1.0
5.029 0.002 -1.127
-0.753 10.919 -3.387
-0.857 -1.190 7.999
La Nd Sc
6 4 2
direct
0.043 0.370 0.085
0.957 0.630 0.915
0.706 0.369 0.413
0.294 0.631 0.587
0.628 0.630 0.256
0.372 0.370 0.744
0.541 0.882 0.082
0.459 0.118 0.918
0.211 0.882 0.421
0.789 0.118 0.579
0.119 0.115 0.239
0.881 0.885 0.761
```

For the energy above the lowest structure with this stoichiometry, the calculation gives 0.0000 eV/atom. As for the space group: No. 2. As for the formation energy: 4 kJ per mole of atoms. The value obtained for the volume is 33.96 A^3/atom.

=====

10.
LaNd2Sc | GGA-PBE | relaxed

The structure in POSCAR format:
```
LaNd2Sc
1.0
-2.963 0.600 -1.954
-1.325 -2.602 -2.105
-8.018 -4.456 7.475
Sc Nd La
1 2 1
direct
0.000 0.000 0.000
0.745 0.745 0.766
0.255 0.255 0.234
0.500 0.500 0.500
```

For the energy above the lowest structure with this stoichiometry, the calculation gives 0.0169 eV/atom. As for the space group: No. 166. As for the formation energy: 5 kJ per mole of atoms. The value obtained for the volume is 32.68 A^3/atom.

=====

11.
La6Nd2Sc | GGA-PBE | relaxed

The structure in POSCAR format:
```
La6Nd2Sc
1.0
5.197 0.000 0.000
-2.599 5.513 -1.713
0.000 -0.164 11.004
La Nd Sc
6 2 1
direct
0.335 0.670 0.947
0.665 0.330 0.053
0.003 0.006 0.171
0.669 0.338 0.394
0.997 0.994 0.829
0.331 0.662 0.606
0.660 0.320 0.716
0.340 0.680 0.284
0.000 0.000 0.500
```

For the energy above the lowest structure with this stoichiometry, the calculation gives 0.0000 eV/atom. As for the space group: No. 12. As for the formation energy: 3 kJ per mole of atoms. The value obtained for the volume is 34.87 A^3/atom.

=====

12.
LaNd7Sc2 | GGA-PBE | relaxed

The structure in POSCAR format:
```
LaNd7Sc2
1.0
5.218 1.611 -0.800
2.904 7.618 -3.831
-1.458 -0.004 9.494
La Nd Sc
1 7 2
direct
0.000 0.000 0.000
0.000 0.797 0.594
0.000 0.203 0.406
0.752 0.636 0.776
0.248 0.364 0.224
0.751 0.860 0.223
0.249 0.140 0.777
0.500 0.500 0.000
0.501 0.698 0.396
0.499 0.302 0.604
```

For the energy above the lowest structure with this stoichiometry, the calculation gives 0.0000 eV/atom. As for the space group: No. 2. As for the formation energy: 5 kJ per mole of atoms. The value obtained for the volume is 33.30 A^3/atom.

=====

13.
La7Nd2Sc2 | GGA-PBE | relaxed

The structure in POSCAR format:
```
La7Nd2Sc2
1.0
1.203 6.875 -5.466
-5.727 -1.026 2.185
-2.656 4.646 7.067
La Nd Sc
7 2 2
direct
0.427 0.177 0.064
0.064 0.823 0.427
0.573 0.823 0.936
0.936 0.177 0.573
0.582 0.368 0.418
0.000 0.000 0.000
0.418 0.632 0.582
0.214 0.850 0.786
0.786 0.150 0.214
0.778 0.500 0.778
0.222 0.500 0.222
```

For the energy above the lowest structure with this stoichiometry, the calculation gives 0.0000 eV/atom. As for the space group: No. 12. As for the formation energy: 12 kJ per mole of atoms. The value obtained for the volume is 34.34 A^3/atom.

=====

14.
LaNdSc2 | GGA-PBE | relaxed

The structure in POSCAR format:
```
LaNdSc2
1.0
-4.390 0.380 -0.042
-0.449 -5.052 1.182
0.054 1.181 5.071
Sc Nd La
2 1 1
direct
0.000 0.000 0.500
0.000 0.500 0.000
0.500 0.000 0.000
0.500 0.500 0.500
```

For the energy above the lowest structure with this stoichiometry, the calculation gives 0.0005 eV/atom. As for the space group: No. 123. As for the formation energy: 5 kJ per mole of atoms. The value obtained for the volume is 29.87 A^3/atom.

=====

15.
La7Nd3Sc | GGA-PBE | relaxed

The structure in POSCAR format:
```
La7Nd3Sc
1.0
-3.442 -2.577 -7.707
-0.573 -6.781 2.523
-5.480 4.677 0.884
La Nd Sc
7 3 1
direct
0.115 0.167 0.833
0.115 0.167 0.334
0.123 0.667 0.333
0.454 0.834 0.166
0.454 0.332 0.166
0.454 0.834 0.668
0.115 0.666 0.833
0.780 0.499 0.501
0.780 0.499 0.998
0.780 0.002 0.501
0.445 0.333 0.667
```

As for the space group: No. 156. As for the formation energy: 16 kJ per mole of atoms. The value obtained for the volume is 36.60 A^3/atom.

=====

16.
LaNdSc2 | GGA-PBE | relaxed

The structure in POSCAR format:
```
LaNdSc2
1.0
-2.503 0.512 2.652
-2.693 -0.203 -2.503
-0.485 -8.735 1.229
Sc Nd La
2 1 1
direct
0.000 0.000 0.752
0.000 0.000 0.248
0.500 0.500 0.000
0.500 0.500 0.500
```

For the energy above the lowest structure with this stoichiometry, the calculation gives 0.0029 eV/atom. As for the space group: No. 123. As for the formation energy: 5 kJ per mole of atoms. The value obtained for the volume is 29.95 A^3/atom.

=====

17.
LaNd2ScSe4 | GGA-PBE | relaxed

The structure in POSCAR format:
```
LaNd2ScSe4
1.0
4.125 0.000 0.000
0.000 7.257 0.163
0.000 -2.498 6.818
La Nd Sc Se
1 2 1 4
direct
0.500 0.500 0.000
0.500 0.000 0.500
0.000 0.500 0.500
0.000 0.000 0.000
0.500 0.229 0.232
0.500 0.771 0.768
0.000 0.237 0.757
0.000 0.763 0.243
```

As for the space group: No. 10. The formation energy without anion corrections is -14.24 eV per formula unit. The value obtained for the volume is 25.72 A^3/atom.

=====

18.
La2NdScSe4 | GGA-PBE | relaxed

The structure in POSCAR format:
```
La2NdScSe4
1.0
4.148 0.000 0.000
0.000 7.289 0.158
0.000 -2.515 6.832
La Nd Sc Se
2 1 1 4
direct
0.500 0.000 0.500
0.000 0.500 0.500
0.500 0.500 0.000
0.000 0.000 0.000
0.500 0.229 0.226
0.500 0.771 0.774
0.000 0.241 0.765
0.000 0.759 0.235
```

As for the space group: No. 10. The formation energy without anion corrections is -14.63 eV per formula unit. The value obtained for the volume is 26.02 A^3/atom.

=====

19.
La2NdScSe6 | GGA-PBE | relaxed

The structure in POSCAR format:
```
La2NdScSe6
1.0
-3.698 4.458 3.942
-5.994 -4.891 -0.093
3.467 -4.416 8.794
La Nd Sc Se
4 2 2 12
direct
0.042 0.898 0.255
0.542 0.602 0.755
0.958 0.102 0.745
0.458 0.398 0.245
0.500 0.000 0.500
0.000 0.500 0.000
0.500 0.000 0.000
0.000 0.500 0.500
0.337 0.693 0.070
0.837 0.807 0.570
0.663 0.307 0.930
0.163 0.193 0.430
0.315 0.676 0.429
0.815 0.824 0.929
0.685 0.324 0.571
0.185 0.176 0.071
0.855 0.548 0.263
0.355 0.952 0.763
0.145 0.452 0.737
0.645 0.048 0.237
```

As for the space group: No. 14. The formation energy without anion corrections is -18.94 eV per formula unit. The value obtained for the volume is 28.26 A^3/atom.

=====

20.
La3Nd3ScSe8 | GGA-PBE | relaxed

The structure in POSCAR format:
```
La3Nd3ScSe8
1.0
8.442 0.000 0.000
-4.221 7.312 -0.025
0.000 -4.850 6.983
La Nd Sc Se
3 3 1 8
direct
0.000 0.000 0.000
0.000 0.500 0.000
0.500 0.500 0.000
0.500 0.000 0.500
0.500 0.500 0.500
0.000 0.500 0.500
0.000 0.000 0.500
0.251 0.503 0.254
0.749 0.497 0.746
0.764 0.528 0.267
0.236 0.472 0.733
0.764 0.003 0.267
0.236 0.997 0.733
0.239 0.003 0.267
0.761 0.997 0.733
```

As for the space group: No. 166. The formation energy without anion corrections is -28.56 eV per formula unit. The value obtained for the volume is 28.67 A^3/atom.